Computed, not measured: a relaxed NaSn12Au4 crystal at the PBE-GGA level of DFT.

The formation energy is -1.86 eV per formula unit. The total energy comes out at -3.784 eV/atom.

It has space group Im-3 (No. 204), with a = 9.737 Å, b = 9.737 Å, c = 9.737 Å, α = 90.00°, β = 90.00° and γ = 90.00°. Symmetry generates all atoms from Na at (0.000, 0.000, 0.000), Sn at (0.000, 0.154, 0.348) and Au at (0.250, 0.250, 0.250).

---

Computed, not measured: a relaxed Na3SnAu3 crystal at the PBE-GGA level of DFT.

The formation energy is -1.85 eV per formula unit. The total energy comes out at -2.806 eV/atom.

It has space group C2/m (No. 12), with a = 8.412 Å, b = 10.091 Å, c = 8.244 Å, α = 90.00°, β = 90.46° and γ = 90.00°. Symmetry generates all atoms from Na at (0.000, 0.155, 0.000), Na at (0.000, 0.271, 0.500), Na at (0.041, 0.500, 0.813), Sn at (0.186, 0.000, 0.655), Au at (0.140, 0.000, 0.316) and Au at (0.238, 0.254, 0.235).

---

Computed, not measured: a relaxed Na3Sn4Au crystal at the PBE-GGA level of DFT.

The formation energy is -2.05 eV per formula unit. The total energy comes out at -3.162 eV/atom.

It has space group Pmmn (No. 59, origin choice 2), with a = 6.405 Å, b = 11.219 Å, c = 6.506 Å, α = 90.00°, β = 90.00° and γ = 90.00°. Symmetry generates all atoms from Na at (0.250, 0.001, 0.168), Na at (0.250, 0.750, 0.559), Sn at (0.008, 0.750, 0.037), Sn at (0.250, 0.107, 0.669) and Au at (0.250, 0.250, 0.317).

---

Computed, not measured: a relaxed Na7Sn2Au2 crystal at the PBE-GGA level of DFT.

The formation energy is -2.19 eV per formula unit. The total energy comes out at -2.363 eV/atom.

It has space group C2/m (No. 12), with a = 8.537 Å, b = 9.124 Å, c = 8.371 Å, α = 90.00°, β = 111.49° and γ = 90.00°. Symmetry generates all atoms from Na at (0.000, 0.000, 0.000), Na at (0.173, 0.000, 0.447), Na at (0.213, 0.311, 0.187), Sn at (0.084, 0.500, 0.779) and Au at (0.000, 0.301, 0.500).

---

Computed, not measured: a relaxed NaSnAu3 crystal at the PBE-GGA level of DFT.

The formation energy is -1.08 eV per formula unit. The total energy comes out at -3.246 eV/atom.

It has space group P2_1/c (No. 14), with a = 7.361 Å, b = 7.000 Å, c = 8.766 Å, α = 90.00°, β = 102.52° and γ = 90.00°. Symmetry generates all atoms from Na at (0.163, 0.025, 0.262), Sn at (0.454, 0.749, 0.580), Au at (0.055, 0.696, 0.012), Au at (0.221, 0.038, 0.934) and Au at (0.330, 0.116, 0.634).

---

Computed, not measured: a relaxed Na4Sn3Au2 crystal at the PBE-GGA level of DFT.

The formation energy is -2.15 eV per formula unit. The total energy comes out at -2.887 eV/atom.

It has space group C2/m (No. 12), with a = 15.266 Å, b = 4.555 Å, c = 7.413 Å, α = 90.00°, β = 111.60° and γ = 90.00°. Symmetry generates all atoms from Na at (0.115, 0.000, 0.362), Na at (0.228, 0.500, 0.152), Sn at (0.000, 0.500, 0.000), Sn at (0.094, 0.500, 0.669) and Au at (0.085, 0.000, 0.896).